Er7TmPb2 | PBE | optimized geometry

The calculation puts the formation energy at 6.6 kcal/mol of atoms. The value obtained for the total DFT energy (no corrections) is -4.09 eV/atom. As for the symmetry: Cmmm (65).

Lattice parameters (Å, degrees): 5.3696 8.9765 8.9765 119.14 90.00 90.00
With the nearest neighbours (Å) after each atom.
Fractional positions:
Er  0.0000  0.7790  0.2210  2 Pb 2.99
Er  0.0000  0.2210  0.7790  2 Pb 2.99
Er  0.5000  0.0602  0.3000  2 Pb 3.13-3.31, 2 Er 3.28-3.45
Er  0.5000  0.9398  0.7000  2 Pb 3.13-3.31, 2 Er 3.28-3.45
Er  0.5000  0.3000  0.0602  2 Pb 3.13-3.31, 2 Er 3.28-3.45
Er  0.5000  0.7000  0.9398  2 Pb 3.13-3.31, 2 Er 3.28-3.45
Er  0.5000  0.5000  0.5000  2 Pb 3.01
Tm  0.0000  0.0000  0.0000  10 Er 3.42-3.65
Pb  0.5000  0.6945  0.3055  7 Er 2.99-3.31
Pb  0.5000  0.3055  0.6945  7 Er 2.99-3.31